An optimized crystal structure of PmPuNpO6, computed with PBE-GGA.

Results
Its total energy is -9.880 eV per atom. The space group is No. 163.

The structure in CIF format:
```
data_PmPuNpO6
_chemical_formula_sum 'Pm2 Pu2 Np2 O12'
_cell_length_a 5.8650
_cell_length_b 5.8650
_cell_length_c 9.2905
_cell_angle_alpha 90.00
_cell_angle_beta 90.00
_cell_angle_gamma 120.00
_symmetry_space_group_name_H-M 'P 1'
_symmetry_Int_Tables_number 1
loop_
_symmetry_equiv_pos_as_xyz
'x,y,z'
loop_
_atom_site_label
_atom_site_type_symbol
_atom_site_fract_x
_atom_site_fract_y
_atom_site_fract_z
O1 O 0.9685 0.3204 0.1301
Pm1 Pm 0.6667 0.3333 0.7500
O2 O 0.3519 0.3204 0.3699
O3 O 0.6796 0.6481 0.1301
O4 O 0.6481 0.9685 0.8699
Pu1 Pu 0.0000 0.0000 0.5000
O5 O 0.3204 0.9685 0.6301
Pu2 Pu 0.0000 0.0000 0.0000
O6 O 0.0315 0.3519 0.6301
Pm2 Pm 0.3333 0.6667 0.2500
Np1 Np 0.3333 0.6667 0.7500
O7 O 0.6796 0.0315 0.3699
O8 O 0.9685 0.6481 0.3699
O9 O 0.3519 0.0315 0.1301
Np2 Np 0.6667 0.3333 0.2500
O10 O 0.0315 0.6796 0.8699
O11 O 0.6481 0.6796 0.6301
O12 O 0.3204 0.3519 0.8699
```

An optimized crystal structure of Rb4Pm3NpO8, computed with PBE-GGA.

Results
Its total energy is -6.891 eV per atom. The space group is No. 166.

The structure in CIF format:
```
data_Rb4Pm3NpO8
_chemical_formula_sum 'Rb4 Pm3 Np1 O8'
_cell_length_a 7.2502
_cell_length_b 7.8198
_cell_length_c 7.2501
_cell_angle_alpha 117.61
_cell_angle_beta 120.00
_cell_angle_gamma 90.00
_symmetry_space_group_name_H-M 'P 1'
_symmetry_Int_Tables_number 1
loop_
_symmetry_equiv_pos_as_xyz
'x,y,z'
loop_
_atom_site_label
_atom_site_type_symbol
_atom_site_fract_x
_atom_site_fract_y
_atom_site_fract_z
Rb1 Rb 0.5000 0.0000 0.0000
O1 O 0.7330 0.6787 0.9558
O2 O 0.7771 0.3213 0.0442
Pm1 Pm 0.0000 0.5000 0.5000
Pm2 Pm 0.5000 0.5000 0.0000
Rb2 Rb 0.0000 0.0000 0.5000
O3 O 0.2737 0.3212 0.5475
Rb3 Rb 0.5000 0.0000 0.5000
Pm3 Pm 0.5000 0.5000 0.5000
Rb4 Rb 0.0000 0.0000 0.0000
Np1 Np 0.0000 0.5000 0.0000
O4 O 0.7772 0.3213 0.5543
O5 O 0.2670 0.3213 0.0442
O6 O 0.7263 0.6788 0.4525
O7 O 0.2229 0.6787 0.9558
O8 O 0.2228 0.6787 0.4457
```

An optimized crystal structure of RbPmNpO6, computed with PBE-GGA.

Results
Its total energy is -7.841 eV per atom. The space group is No. 74.

The structure in CIF format:
```
data_RbPmNpO6
_chemical_formula_sum 'Rb2 Pm2 Np2 O12'
_cell_length_a 7.5316
_cell_length_b 8.1189
_cell_length_c 7.5757
_cell_angle_alpha 122.40
_cell_angle_beta 119.81
_cell_angle_gamma 90.00
_symmetry_space_group_name_H-M 'P 1'
_symmetry_Int_Tables_number 1
loop_
_symmetry_equiv_pos_as_xyz
'x,y,z'
loop_
_atom_site_label
_atom_site_type_symbol
_atom_site_fract_x
_atom_site_fract_y
_atom_site_fract_z
O1 O 0.4493 0.6035 0.2589
Np1 Np 0.5000 0.0000 0.0000
O2 O 0.1904 0.8447 0.7411
O3 O 0.5507 0.3965 0.7411
O4 O 0.4182 0.1682 0.8364
O5 O 0.1904 0.3965 0.7411
O6 O 0.8657 0.1157 0.7315
Rb1 Rb 0.1460 0.3960 0.2920
O7 O 0.5818 0.8318 0.1636
O8 O 0.4493 0.1553 0.2589
Rb2 Rb 0.8540 0.6040 0.7080
O9 O 0.8096 0.1553 0.2589
O10 O 0.5507 0.8447 0.7411
O11 O 0.8096 0.6035 0.2589
Pm1 Pm 0.0000 0.0000 0.5000
Pm2 Pm 0.5000 0.0000 0.5000
O12 O 0.1343 0.8843 0.2685
Np2 Np 0.5000 0.5000 0.0000
```

An optimized crystal structure of Rb2PmNpO6, computed with PBE-GGA.

Results
Its total energy is -7.559 eV per atom. The space group is No. 225.

The structure in CIF format:
```
data_Rb2PmNpO6
_chemical_formula_sum 'Rb2 Pm1 Np1 O6'
_cell_length_a 6.2272
_cell_length_b 6.2276
_cell_length_c 6.2275
_cell_angle_alpha 60.00
_cell_angle_beta 60.00
_cell_angle_gamma 90.00
_symmetry_space_group_name_H-M 'P 1'
_symmetry_Int_Tables_number 1
loop_
_symmetry_equiv_pos_as_xyz
'x,y,z'
loop_
_atom_site_label
_atom_site_type_symbol
_atom_site_fract_x
_atom_site_fract_y
_atom_site_fract_z
Pm1 Pm 0.0000 0.0000 0.0000
O1 O 0.7317 0.2683 0.0000
O2 O 0.2683 0.7317 0.0000
O3 O 0.7317 0.7316 0.9999
O4 O 0.7316 0.7317 0.5367
Rb1 Rb 0.2500 0.7500 0.5000
Rb2 Rb 0.7500 0.2500 0.5000
O5 O 0.2683 0.2684 0.0001
Np1 Np 0.5000 0.5000 0.0000
O6 O 0.2684 0.2683 0.4633
```

An optimized crystal structure of Rb2PmNpO4, computed with PBE-GGA.

Results
Its total energy is -7.295 eV per atom. The space group is No. 10.

The structure in CIF format:
```
data_Rb2PmNpO4
_chemical_formula_sum 'Rb2 Pm1 Np1 O4'
_cell_length_a 3.6160
_cell_length_b 6.2585
_cell_length_c 6.9294
_cell_angle_alpha 107.65
_cell_angle_beta 90.00
_cell_angle_gamma 90.00
_symmetry_space_group_name_H-M 'P 1'
_symmetry_Int_Tables_number 1
loop_
_symmetry_equiv_pos_as_xyz
'x,y,z'
loop_
_atom_site_label
_atom_site_type_symbol
_atom_site_fract_x
_atom_site_fract_y
_atom_site_fract_z
Rb1 Rb 0.5000 0.0000 0.5000
O1 O 0.5000 0.2332 0.1778
Np1 Np 0.5000 0.5000 0.0000
Pm1 Pm 0.0000 0.0000 0.0000
O2 O 0.5000 0.7668 0.8222
Rb2 Rb 0.0000 0.5000 0.5000
O3 O 0.0000 0.7171 0.1759
O4 O 0.0000 0.2829 0.8241
```

An optimized crystal structure of Rb3Pm3NpO8, computed with PBE-GGA.

Results
Its total energy is -7.333 eV per atom. The space group is No. 166.

The structure in CIF format:
```
data_Rb3Pm3NpO8
_chemical_formula_sum 'Rb3 Pm3 Np1 O8'
_cell_length_a 7.1996
_cell_length_b 7.1996
_cell_length_c 7.8593
_cell_angle_alpha 117.28
_cell_angle_beta 90.00
_cell_angle_gamma 120.00
_symmetry_space_group_name_H-M 'P 1'
_symmetry_Int_Tables_number 1
loop_
_symmetry_equiv_pos_as_xyz
'x,y,z'
loop_
_atom_site_label
_atom_site_type_symbol
_atom_site_fract_x
_atom_site_fract_y
_atom_site_fract_z
Pm1 Pm 0.5000 0.5000 0.5000
O1 O 0.7409 0.9542 0.6675
O2 O 0.2134 0.4267 0.6675
Np1 Np 0.0000 0.0000 0.5000
Rb1 Rb 0.5000 0.5000 0.0000
Pm2 Pm 0.5000 0.0000 0.5000
Rb2 Rb 0.0000 0.5000 0.0000
Pm3 Pm 0.0000 0.5000 0.5000
O3 O 0.7866 0.0457 0.3325
Rb3 Rb 0.0000 0.0000 0.0000
O4 O 0.2750 0.5501 0.3252
O5 O 0.7250 0.4499 0.6748
O6 O 0.2591 0.0458 0.3325
O7 O 0.2134 0.9543 0.6675
O8 O 0.7866 0.5733 0.3325
```

An optimized crystal structure of PmNpRhO6, computed with PBE-GGA.

Results
Its total energy is -8.266 eV per atom. The space group is No. 163.

The structure in CIF format:
```
data_PmNpRhO6
_chemical_formula_sum 'Pm2 Np2 Rh2 O12'
_cell_length_a 5.7006
_cell_length_b 5.7006
_cell_length_c 8.5143
_cell_angle_alpha 90.00
_cell_angle_beta 90.00
_cell_angle_gamma 120.00
_symmetry_space_group_name_H-M 'P 1'
_symmetry_Int_Tables_number 1
loop_
_symmetry_equiv_pos_as_xyz
'x,y,z'
loop_
_atom_site_label
_atom_site_type_symbol
_atom_site_fract_x
_atom_site_fract_y
_atom_site_fract_z
O1 O 0.3012 0.3400 0.8786
O2 O 0.3400 0.3012 0.3786
Pm1 Pm 0.3333 0.6667 0.2500
O3 O 0.0387 0.3400 0.6214
Pm2 Pm 0.6667 0.3333 0.7500
O4 O 0.3012 0.9613 0.6214
O5 O 0.6600 0.9613 0.8786
O6 O 0.6988 0.6600 0.1214
Np1 Np 0.3333 0.6667 0.7500
Rh1 Rh 0.0000 0.0000 0.5000
O7 O 0.6600 0.6988 0.6214
O8 O 0.9613 0.6600 0.3786
O9 O 0.3400 0.0387 0.1214
O10 O 0.9613 0.3012 0.1214
O11 O 0.6988 0.0387 0.3786
O12 O 0.0387 0.6988 0.8786
Rh2 Rh 0.0000 0.0000 0.0000
Np2 Np 0.6667 0.3333 0.2500
```

An optimized crystal structure of PmNpSO2, computed with PBE-GGA.

Results
Its total energy is -8.956 eV per atom. The space group is No. 107.

The structure in CIF format:
```
data_PmNpSO2
_chemical_formula_sum 'Pm1 Np1 S1 O2'
_cell_length_a 3.8212
_cell_length_b 3.8212
_cell_length_c 6.6540
_cell_angle_alpha 106.69
_cell_angle_beta 106.69
_cell_angle_gamma 90.00
_symmetry_space_group_name_H-M 'P 1'
_symmetry_Int_Tables_number 1
loop_
_symmetry_equiv_pos_as_xyz
'x,y,z'
loop_
_atom_site_label
_atom_site_type_symbol
_atom_site_fract_x
_atom_site_fract_y
_atom_site_fract_z
Pm1 Pm 0.1446 0.1446 0.2892
S1 S 0.4987 0.4987 0.9975
O1 O 0.2511 0.7511 0.5021
O2 O 0.7511 0.2511 0.5021
Np1 Np 0.8545 0.8545 0.7090
```

An optimized crystal structure of PmNpSc2O8, computed with PBE-GGA.

Results
Its total energy is -8.933 eV per atom. The space group is No. 65.

The structure in CIF format:
```
data_PmNpSc2O8
_chemical_formula_sum 'Pm1 Np1 Sc2 O8'
_cell_length_a 4.9384
_cell_length_b 4.9405
_cell_length_c 6.9340
_cell_angle_alpha 90.00
_cell_angle_beta 90.00
_cell_angle_gamma 88.67
_symmetry_space_group_name_H-M 'P 1'
_symmetry_Int_Tables_number 1
loop_
_symmetry_equiv_pos_as_xyz
'x,y,z'
loop_
_atom_site_label
_atom_site_type_symbol
_atom_site_fract_x
_atom_site_fract_y
_atom_site_fract_z
Sc1 Sc 0.5000 0.5000 0.2710
O1 O 0.8025 0.1978 0.7780
O2 O 0.7190 0.7194 0.0000
O3 O 0.6773 0.6776 0.5000
O4 O 0.3227 0.3224 0.5000
O5 O 0.8025 0.1978 0.2220
Pm1 Pm 0.0000 0.0000 0.5000
O6 O 0.2810 0.2806 0.0000
O7 O 0.1975 0.8022 0.2220
O8 O 0.1975 0.8022 0.7780
Sc2 Sc 0.5000 0.5000 0.7290
Np1 Np 0.0000 0.0000 0.0000
```

An optimized crystal structure of PmNpSe2O, computed with PBE-GGA.

Results
Its total energy is -8.014 eV per atom. The space group is No. 129.

The structure in CIF format:
```
data_PmNpSe2O
_chemical_formula_sum 'Pm2 Np2 Se4 O2'
_cell_length_a 4.0341
_cell_length_b 4.0341
_cell_length_c 14.5592
_cell_angle_alpha 90.00
_cell_angle_beta 90.00
_cell_angle_gamma 90.00
_symmetry_space_group_name_H-M 'P 1'
_symmetry_Int_Tables_number 1
loop_
_symmetry_equiv_pos_as_xyz
'x,y,z'
loop_
_atom_site_label
_atom_site_type_symbol
_atom_site_fract_x
_atom_site_fract_y
_atom_site_fract_z
Se1 Se 0.0000 0.5000 0.0915
O1 O 0.0000 0.0000 0.5000
Se2 Se 0.5000 0.0000 0.9085
Np1 Np 0.5000 0.0000 0.5797
Se3 Se 0.0000 0.5000 0.6808
Se4 Se 0.5000 0.0000 0.3192
Pm1 Pm 0.5000 0.0000 0.1257
Pm2 Pm 0.0000 0.5000 0.8743
Np2 Np 0.0000 0.5000 0.4203
O2 O 0.5000 0.5000 0.5000
```

An optimized crystal structure of PmNpSeO2, computed with PBE-GGA.

Results
Its total energy is -8.834 eV per atom. The space group is No. 107.

The structure in CIF format:
```
data_PmNpSeO2
_chemical_formula_sum 'Pm1 Np1 Se1 O2'
_cell_length_a 3.8885
_cell_length_b 3.8885
_cell_length_c 6.7670
_cell_angle_alpha 106.70
_cell_angle_beta 106.70
_cell_angle_gamma 90.00
_symmetry_space_group_name_H-M 'P 1'
_symmetry_Int_Tables_number 1
loop_
_symmetry_equiv_pos_as_xyz
'x,y,z'
loop_
_atom_site_label
_atom_site_type_symbol
_atom_site_fract_x
_atom_site_fract_y
_atom_site_fract_z
O1 O 0.7511 0.2511 0.5022
Np1 Np 0.8504 0.8504 0.7007
O2 O 0.2511 0.7511 0.5022
Pm1 Pm 0.1490 0.1490 0.2980
Se1 Se 0.4985 0.4985 0.9969
```

An optimized crystal structure of PmNpSi2O8, computed with PBE-GGA.

Results
Its total energy is -8.626 eV per atom. The space group is No. 119.

The structure in CIF format:
```
data_PmNpSi2O8
_chemical_formula_sum 'Pm1 Np1 Si2 O8'
_cell_length_a 5.8633
_cell_length_b 5.8633
_cell_length_c 5.8633
_cell_angle_alpha 106.40
_cell_angle_beta 106.40
_cell_angle_gamma 115.81
_symmetry_space_group_name_H-M 'P 1'
_symmetry_Int_Tables_number 1
loop_
_symmetry_equiv_pos_as_xyz
'x,y,z'
loop_
_atom_site_label
_atom_site_type_symbol
_atom_site_fract_x
_atom_site_fract_y
_atom_site_fract_z
Si1 Si 0.7500 0.2500 0.5000
O1 O 0.3361 0.5218 0.1857
O2 O 0.4782 0.6639 0.8143
Si2 Si 0.5000 0.5000 0.0000
O3 O 0.8496 0.6639 0.1857
Pm1 Pm 0.0000 0.0000 0.0000
O4 O 0.9263 0.2525 0.3262
O5 O 0.3999 0.0737 0.3262
O6 O 0.7475 0.0737 0.6738
O7 O 0.3361 0.1504 0.8143
Np1 Np 0.2500 0.7500 0.5000
O8 O 0.9263 0.6001 0.6738
```

no.,total moment (μB/atom)
1,0.667
2,0.249
3,0.075
4,0.000
5,0.500
6,0.200
7,0.111
8,0.800
9,0.000
10,0.742
11,0.800
12,0.167